# Ho8TlSn5

Crystalline Ho8TlSn5 at its relaxed geometry (PBE, Alexandria via LeMat-Bulk).

```
Ho8TlSn5
1.0
-4.019 -4.208 5.515
1.800 -4.745 -6.206
6.755 2.854 3.240
Sn Tl Ho
5 1 8
direct
0.751 0.624 0.626
0.500 0.000 0.500
0.002 0.376 0.127
0.873 0.875 0.249
0.374 0.125 0.998
0.250 0.500 0.750
0.268 0.248 0.375
0.764 0.247 0.372
0.127 0.752 0.020
0.124 0.753 0.517
0.628 0.393 0.876
0.483 0.607 0.236
0.980 0.107 0.732
0.625 0.893 0.873
```

Properties
V = 28.332 A^3/atom
Energy of formation = -634 meV/atom
Magnetization = 0.0 Bohr magnetons per cell